(1)
Below is crystalline PuGa8Ir2 at its relaxed geometry, with properties calculated at the GGA-PBE level.

POSCAR file:
```
PuGa8Ir2
1.0
6.328 0.000 0.000
0.000 6.328 0.000
0.000 0.000 5.307
Pu Ga Ir
1 8 2
Direct
0.000 0.000 0.000
0.290 0.290 0.248
0.290 0.290 0.752
0.290 0.710 0.248
0.290 0.710 0.752
0.710 0.290 0.248
0.710 0.290 0.752
0.710 0.710 0.248
0.710 0.710 0.752
0.000 0.500 0.500
0.500 0.000 0.500
```

Values from the calculation:
Its space group is P4/mmm (123).

***

(2)
Below is crystalline PuGaIr2 at its relaxed geometry, with properties calculated at the GGA-PBE level.

POSCAR file:
```
PuGaIr2
1.0
4.276 0.000 0.000
0.000 4.276 0.000
0.000 0.000 3.798
Pu Ga Ir
1 1 2
Direct
0.000 0.000 0.000
0.500 0.500 0.000
0.000 0.500 0.500
0.500 0.000 0.500
```

Values from the calculation:
Its space group is P4/mmm (123).

***

(3)
Below is crystalline PuGa4Ir2 at its relaxed geometry, with properties calculated at the GGA-PBE level.

POSCAR file:
```
PuGa4Ir2
1.0
17.069 0.000 0.000
0.000 4.296 0.000
0.000 0.000 6.702
Pu Ga Ir
4 16 8
Direct
0.141 0.250 0.027
0.359 0.750 0.527
0.641 0.250 0.473
0.859 0.750 0.973
0.036 0.750 0.850
0.068 0.250 0.491
0.186 0.750 0.333
0.189 0.750 0.736
0.311 0.250 0.236
0.314 0.250 0.833
0.432 0.750 0.991
0.464 0.250 0.350
0.536 0.750 0.650
0.568 0.250 0.009
0.686 0.750 0.167
0.689 0.750 0.764
0.811 0.250 0.264
0.814 0.250 0.667
0.932 0.750 0.509
0.964 0.250 0.150
0.038 0.750 0.245
0.217 0.250 0.536
0.283 0.750 0.036
0.462 0.250 0.745
0.538 0.750 0.255
0.717 0.250 0.964
0.783 0.750 0.464
0.962 0.250 0.755
```

Values from the calculation:
Its space group is Pnma (62).

***

Record-wise ΔH_f (0 K) values, in meV per atom: -154; -347; -499
Record-wise total DFT energy (no corrections) values, in eV for the cell shown: -57.96; -36.47; -190.62